# 1
Na2VIrO4: relaxed, PBE+U.

Cell and atoms, written as CIF:
```
data_Na2VIrO4
_space_group_name_H-M_alt 'I -4'
_space_group_IT_number 82
_cell_length_a 5.8298
_cell_length_b 5.8298
_cell_length_c 6.2290
_cell_angle_alpha 90.00
_cell_angle_beta 90.00
_cell_angle_gamma 90.00
loop_
_space_group_symop_operation_xyz
'x,y,z'
'y,-x,-z'
'-x,-y,z'
'-y,x,-z'
'x+1/2,y+1/2,z+1/2'
'y+1/2,-x+1/2,-z+1/2'
'-x+1/2,-y+1/2,z+1/2'
'-y+1/2,x+1/2,-z+1/2'
loop_
_atom_site_label
_atom_site_type_symbol
_atom_site_fract_x
_atom_site_fract_y
_atom_site_fract_z
Na1 Na 0.0000 0.0000 0.0000
Na2 Na 0.0000 0.5000 0.2500
V1 V 0.0000 0.0000 0.5000
Ir1 Ir 0.0000 0.5000 0.7500
O1 O 0.1453 0.1907 0.6983
```

Results
Crystal system   tetragonal
Uncorrected energy   -6.16 eV/atom
Calculated density   5.540 Mg/m³

=====

# 2
NaVIrO6: relaxed, PBE+U.

Cell and atoms, written as CIF:
```
data_NaVIrO6
_space_group_name_H-M_alt 'P -3 1 c'
_space_group_IT_number 163
_space_group_name_Hall '-P 3 2c'
_cell_length_a 5.1521
_cell_length_b 5.1521
_cell_length_c 10.3151
_cell_angle_alpha 90.00
_cell_angle_beta 90.00
_cell_angle_gamma 120.00
loop_
_atom_site_label
_atom_site_type_symbol
_atom_site_fract_x
_atom_site_fract_y
_atom_site_fract_z
Na1 Na 0.0000 0.0000 0.0000
V1 V 0.3333 0.6667 0.2500
Ir1 Ir 0.3333 0.6667 0.7500
O1 O 0.0055 0.3817 0.1484
```

Results
Crystal system   trigonal
Uncorrected energy   -6.49 eV/atom
Calculated density   5.072 Mg/m³

=====

- Look up the uncorrected energy of the second one.
  -6.49 eV/atom